# 1
# K3Zr3NiSe8, relaxed, DFT GGA-PBE
# E_tot = -159.9 eV per cell
# total magnetic moment = 3.70 μB per cell
data_K3Zr3NiSe8
_space_group_name_H-M_alt 'C 1 2/m 1'
_space_group_IT_number 12
_cell_length_a 13.4359
_cell_length_b 7.7650
_cell_length_c 9.0559
_cell_angle_alpha 90.00
_cell_angle_beta 119.63
_cell_angle_gamma 90.00
loop_
_space_group_symop_operation_xyz
'x,y,z'
'-x,-y,-z'
'-x,y,-z'
'x,-y,z'
'x+1/2,y+1/2,z'
'-x+1/2,-y+1/2,-z'
'-x+1/2,y+1/2,-z'
'x+1/2,-y+1/2,z'
loop_
_atom_site_label
_atom_site_type_symbol
_atom_site_fract_x
_atom_site_fract_y
_atom_site_fract_z
K1 K 0.0000 0.0000 0.0000
K2 K 0.2500 0.2500 0.0000
Zr1 Zr 0.0000 0.5000 0.5000
Zr2 Zr 0.2500 0.2500 0.5000
Ni1 Ni 0.0000 0.0000 0.5000
Se1 Se 0.0181 0.2437 0.3106
Se2 Se 0.2258 0.0000 0.6893
Se3 Se 0.2342 0.5000 0.7025



# 2
# KSiNi, relaxed, DFT GGA-PBE
# E_tot = -37.5 eV per cell
# total magnetic moment = 0.00 μB per cell
data_KSiNi
_space_group_name_H-M_alt 'F -4 3 m'
_space_group_IT_number 216
_space_group_name_Hall 'F -4 2 3'
_cell_length_a 6.5487
_cell_length_b 6.5487
_cell_length_c 6.5487
_cell_angle_alpha 90.00
_cell_angle_beta 90.00
_cell_angle_gamma 90.00
loop_
_atom_site_label
_atom_site_type_symbol
_atom_site_fract_x
_atom_site_fract_y
_atom_site_fract_z
K1 K 0.0000 0.0000 0.0000
Si1 Si 0.2500 0.2500 0.7500
Ni1 Ni 0.0000 0.0000 0.5000



# 3
# KSiNi, relaxed, DFT GGA-PBE
# E_tot = -25.7 eV per cell
# total magnetic moment = 0.00 μB per cell
data_KSiNi
_space_group_name_H-M_alt 'P 4/n m m'
_space_group_IT_number 129
_cell_length_a 4.0872
_cell_length_b 4.0872
_cell_length_c 9.9478
_cell_angle_alpha 90.00
_cell_angle_beta 90.00
_cell_angle_gamma 90.00
loop_
_space_group_symop_operation_xyz
'x,y,z'
'-x,-y,-z'
'-y+1/2,x,z'
'y+1/2,-x,-z'
'-x+1/2,-y+1/2,z'
'x+1/2,y+1/2,-z'
'y,-x+1/2,z'
'-y,x+1/2,-z'
'x+1/2,-y,-z'
'-x+1/2,y,z'
'-y,-x,-z'
'y,x,z'
'-x,y+1/2,-z'
'x,-y+1/2,z'
'y+1/2,x+1/2,-z'
'-y+1/2,-x+1/2,z'
loop_
_atom_site_label
_atom_site_type_symbol
_atom_site_fract_x
_atom_site_fract_y
_atom_site_fract_z
K1 K 0.2500 0.2500 0.2140
Si1 Si 0.2500 0.2500 0.6010
Ni1 Ni 0.2500 0.7500 0.5000



# 4
# KSi2Ni, relaxed, DFT GGA-PBE
# E_tot = -17.7 eV per cell
# total magnetic moment = 0.00 μB per cell
data_KSi2Ni
_space_group_name_H-M_alt 'P m m m'
_space_group_IT_number 47
_cell_length_a 2.7594
_cell_length_b 3.3076
_cell_length_c 7.7519
_cell_angle_alpha 90.00
_cell_angle_beta 90.00
_cell_angle_gamma 90.00
loop_
_space_group_symop_operation_xyz
'x,y,z'
'-x,-y,-z'
'-x,-y,z'
'x,y,-z'
'x,-y,-z'
'-x,y,z'
'-x,y,-z'
'x,-y,z'
loop_
_atom_site_label
_atom_site_type_symbol
_atom_site_fract_x
_atom_site_fract_y
_atom_site_fract_z
K1 K 0.0000 0.0000 0.0000
Si1 Si 0.5000 0.5000 0.3354
Ni1 Ni 0.0000 0.0000 0.5000



# 5
# KSiNi, relaxed, DFT GGA-PBE
# E_tot = -29.6 eV per cell
# total magnetic moment = 0.78 μB per cell
data_KSiNi
_space_group_name_H-M_alt 'F -4 3 m'
_space_group_IT_number 216
_space_group_name_Hall 'F -4 2 3'
_cell_length_a 6.8265
_cell_length_b 6.8265
_cell_length_c 6.8265
_cell_angle_alpha 90.00
_cell_angle_beta 90.00
_cell_angle_gamma 90.00
loop_
_atom_site_label
_atom_site_type_symbol
_atom_site_fract_x
_atom_site_fract_y
_atom_site_fract_z
K1 K 0.0000 0.0000 0.0000
Si1 Si 0.2500 0.2500 0.7500
Ni1 Ni 0.2500 0.2500 0.2500



# 6
# KSi2Ni, relaxed, DFT GGA-PBE
# E_tot = -17.4 eV per cell
# total magnetic moment = 0.00 μB per cell
data_KSi2Ni
_space_group_name_H-M_alt 'P 1 2/m 1'
_space_group_IT_number 10
_cell_length_a 2.7968
_cell_length_b 3.8680
_cell_length_c 7.1751
_cell_angle_alpha 90.00
_cell_angle_beta 100.45
_cell_angle_gamma 90.00
loop_
_space_group_symop_operation_xyz
'x,y,z'
'-x,-y,-z'
'-x,y,-z'
'x,-y,z'
loop_
_atom_site_label
_atom_site_type_symbol
_atom_site_fract_x
_atom_site_fract_y
_atom_site_fract_z
K1 K 0.0000 0.0000 0.0000
Si1 Si 0.3536 0.5000 0.6536
Ni1 Ni 0.0000 0.0000 0.5000



# 7
# KSi2Ni, relaxed, DFT GGA-PBE
# E_tot = -69.8 eV per cell
# total magnetic moment = 0.00 μB per cell
data_KSi2Ni
_space_group_name_H-M_alt 'I 41/a m d'
_space_group_IT_number 141
_cell_length_a 5.2275
_cell_length_b 5.2275
_cell_length_c 14.1754
_cell_angle_alpha 90.00
_cell_angle_beta 90.00
_cell_angle_gamma 90.00
loop_
_space_group_symop_operation_xyz
'x,y,z'
'-x,-y,-z'
'-y+1/4,x+3/4,z+1/4'
'y+1/4,-x+3/4,-z+1/4'
'-x+1/2,-y,z+1/2'
'x+1/2,y,-z+1/2'
'y+1/4,-x+1/4,z+3/4'
'-y+1/4,x+1/4,-z+3/4'
'x,-y,-z'
'-x,y,z'
'-y+1/4,-x+1/4,-z+3/4'
'y+1/4,x+1/4,z+3/4'
'-x+1/2,y,-z+1/2'
'x+1/2,-y,z+1/2'
'y+1/4,x+3/4,-z+1/4'
'-y+1/4,-x+3/4,z+1/4'
'x+1/2,y+1/2,z+1/2'
'-x+1/2,-y+1/2,-z+1/2'
'-y+3/4,x+1/4,z+3/4'
'y+3/4,-x+1/4,-z+3/4'
'-x,-y+1/2,z'
'x,y+1/2,-z'
'y+3/4,-x+3/4,z+1/4'
'-y+3/4,x+3/4,-z+1/4'
'x+1/2,-y+1/2,-z+1/2'
'-x+1/2,y+1/2,z+1/2'
'-y+3/4,-x+3/4,-z+1/4'
'y+3/4,x+3/4,z+1/4'
'-x,y+1/2,-z'
'x,-y+1/2,z'
'y+3/4,x+1/4,-z+3/4'
'-y+3/4,-x+1/4,z+3/4'
loop_
_atom_site_label
_atom_site_type_symbol
_atom_site_fract_x
_atom_site_fract_y
_atom_site_fract_z
K1 K 0.0000 0.2500 0.3750
Si1 Si 0.0000 0.0000 0.0000
Ni1 Ni 0.0000 0.2500 0.8750



# 8
# KSi2Ni, relaxed, DFT GGA-PBE
# E_tot = -29.3 eV per cell
# total magnetic moment = 0.00 μB per cell
data_KSi2Ni
_space_group_name_H-M_alt 'I -4 m 2'
_space_group_IT_number 119
_space_group_name_Hall 'I -4 -2'
_cell_length_a 4.6210
_cell_length_b 4.6210
_cell_length_c 6.5091
_cell_angle_alpha 90.00
_cell_angle_beta 90.00
_cell_angle_gamma 90.00
loop_
_atom_site_label
_atom_site_type_symbol
_atom_site_fract_x
_atom_site_fract_y
_atom_site_fract_z
K1 K 0.0000 0.0000 0.0000
Si1 Si 0.0000 0.0000 0.5000
Si2 Si 0.0000 0.5000 0.7500
Ni1 Ni 0.0000 0.5000 0.2500



# 9
# KSi2Ni2, relaxed, DFT GGA-PBE
# E_tot = -47.1 eV per cell
# total magnetic moment = 0.00 μB per cell
data_KSi2Ni2
_space_group_name_H-M_alt 'P 4/m b m'
_space_group_IT_number 127
_space_group_name_Hall '-P 4 2ab'
_cell_length_a 7.6021
_cell_length_b 7.6021
_cell_length_c 2.5607
_cell_angle_alpha 90.00
_cell_angle_beta 90.00
_cell_angle_gamma 90.00
loop_
_atom_site_label
_atom_site_type_symbol
_atom_site_fract_x
_atom_site_fract_y
_atom_site_fract_z
K1 K 0.0000 0.0000 0.0000
Si1 Si 0.1318 0.3682 0.5000
Ni1 Ni 0.1447 0.6447 0.0000



# 10
# KSi2Ni, relaxed, DFT GGA-PBE
# E_tot = -14.9 eV per cell
# total magnetic moment = 0.00 μB per cell
data_KSi2Ni
_space_group_name_H-M_alt 'P 1 2/m 1'
_space_group_IT_number 10
_cell_length_a 5.3743
_cell_length_b 2.6629
_cell_length_c 5.5138
_cell_angle_alpha 90.00
_cell_angle_beta 118.91
_cell_angle_gamma 90.00
loop_
_space_group_symop_operation_xyz
'x,y,z'
'-x,-y,-z'
'-x,y,-z'
'x,-y,z'
loop_
_atom_site_label
_atom_site_type_symbol
_atom_site_fract_x
_atom_site_fract_y
_atom_site_fract_z
K1 K 0.0000 0.0000 0.0000
Si1 Si 0.0000 0.5000 0.5000
Si2 Si 0.5000 0.5000 0.5000
Ni1 Ni 0.5000 0.0000 0.0000



# 11
# K4SiNi, relaxed, DFT GGA-PBE
# E_tot = -39.4 eV per cell
# total magnetic moment = 1.58 μB per cell
data_K4SiNi
_space_group_name_H-M_alt 'F -4 3 m'
_space_group_IT_number 216
_space_group_name_Hall 'F -4 2 3'
_cell_length_a 9.3707
_cell_length_b 9.3707
_cell_length_c 9.3707
_cell_angle_alpha 90.00
_cell_angle_beta 90.00
_cell_angle_gamma 90.00
loop_
_atom_site_label
_atom_site_type_symbol
_atom_site_fract_x
_atom_site_fract_y
_atom_site_fract_z
K1 K 0.1252 0.1252 0.1252
Si1 Si 0.0000 0.0000 0.5000
Ni1 Ni 0.2500 0.2500 0.7500



# 12
# K2Si2Ni, relaxed, DFT GGA-PBE
# E_tot = -36.2 eV per cell
# total magnetic moment = 0.00 μB per cell
data_K2Si2Ni
_space_group_name_H-M_alt 'P 4/m b m'
_space_group_IT_number 127
_space_group_name_Hall '-P 4 2ab'
_cell_length_a 6.1997
_cell_length_b 6.1997
_cell_length_c 5.6675
_cell_angle_alpha 90.00
_cell_angle_beta 90.00
_cell_angle_gamma 90.00
loop_
_atom_site_label
_atom_site_type_symbol
_atom_site_fract_x
_atom_site_fract_y
_atom_site_fract_z
K1 K 0.1834 0.3166 0.0000
Si1 Si 0.1384 0.6384 0.5000
Ni1 Ni 0.0000 0.0000 0.5000